First-principles (PBE-GGA) data for a geometry-optimized Li5InSn2Hg2 structure, as listed in Alexandria via LeMat-Bulk.

Output
calculated formation energy: -0.212 eV per atom
density: 6.27 g/cm³
E: -2.30 eV per atom
size of the total moment: 0.00 μB per cell

Unit cell a=3.7317 b=10.5768 c=10.5768 alpha=90.00 beta=90.00 gamma=90.00
With the nearest neighbours (Å) after each atom.
Element x y z (fractional)
Li 0.5000 0.5325 0.7092  2 Hg 2.72, 2 In 2.91
Li 0.5000 0.9675 0.2092  2 Hg 2.72, 2 In 2.91
Li 0.5000 0.0325 0.7908  2 Hg 2.72, 2 In 2.91
Li 0.5000 0.2908 0.5325  2 Hg 2.72, 2 In 2.91
Li 0.5000 0.7908 0.9675  2 Hg 2.72, 2 In 2.91
Li 0.5000 0.7092 0.4675  2 Hg 2.72, 2 In 2.91
Li 0.5000 0.2092 0.0325  2 Hg 2.72, 2 In 2.91
Li 0.5000 0.5000 0.0000  4 Hg 2.72
Li 0.5000 0.0000 0.5000  4 Hg 2.72
Li 0.5000 0.4675 0.2908  2 Hg 2.72, 2 In 2.91
Hg 0.0000 0.1323 0.6323  6 Li 2.72, 1 Sn 2.95
Hg 0.0000 0.6323 0.8677  6 Li 2.72, 1 Sn 2.95
Hg 0.0000 0.8677 0.3677  6 Li 2.72, 1 Sn 2.95
Hg 0.0000 0.3677 0.1323  6 Li 2.72, 1 Sn 2.95
Sn 0.0000 0.8297 0.6703  3 Hg 2.95-3.23, 6 Li 3.12-3.16
Sn 0.0000 0.6703 0.1703  3 Hg 2.95-3.23, 6 Li 3.12-3.16
Sn 0.0000 0.3297 0.8297  3 Hg 2.95-3.23, 6 Li 3.12-3.16
Sn 0.0000 0.1703 0.3297  3 Hg 2.95-3.23, 6 Li 3.12-3.16
In 0.0000 0.0000 0.0000  8 Li 2.91
In 0.0000 0.5000 0.5000  8 Li 2.91



First-principles (PBE-GGA) data for a geometry-optimized Li5In2Sn2Hg structure, as listed in Alexandria via LeMat-Bulk.

Output
calculated formation energy: -0.215 eV per atom
density: 5.54 g/cm³
E: -2.55 eV per atom
size of the total moment: 0.00 μB per cell

Unit cell a=3.5671 b=10.8634 c=10.8634 alpha=90.00 beta=90.00 gamma=90.00
With the nearest neighbours (Å) after each atom.
Element x y z (fractional)
Li 0.5000 0.7006 0.4945  2 Hg 2.82, 2 Sn 2.88, 2 In 2.95, 2 Li 3.08
Li 0.5000 0.7994 0.9945  2 Hg 2.82, 2 Sn 2.88, 2 In 2.95, 2 Li 3.08
Li 0.5000 0.2994 0.5055  2 Hg 2.82, 2 Sn 2.88, 2 In 2.95, 2 Li 3.08
Li 0.5000 0.9945 0.2006  2 Hg 2.82, 2 Sn 2.88, 2 In 2.95, 2 Li 3.08
Li 0.5000 0.2006 0.0055  2 Hg 2.82, 2 Sn 2.88, 2 In 2.95, 2 Li 3.08
Li 0.5000 0.0000 0.5000  4 In 2.95, 4 Sn 2.96, 4 Li 3.25
Li 0.5000 0.5000 0.0000  4 In 2.95, 4 Sn 2.96, 4 Li 3.25
Li 0.5000 0.4945 0.2994  2 Hg 2.82, 2 Sn 2.88, 2 In 2.95, 2 Li 3.08
Li 0.5000 0.5055 0.7006  2 Hg 2.82, 2 Sn 2.88, 2 In 2.95, 2 Li 3.08
Li 0.5000 0.0055 0.7994  2 Hg 2.82, 2 Sn 2.88, 2 In 2.95, 2 Li 3.08
Sn 0.0000 0.1539 0.6539  6 Li 2.88-2.96, 1 In 2.96
Sn 0.0000 0.6539 0.8461  6 Li 2.88-2.96, 1 In 2.96
Sn 0.0000 0.8461 0.3461  6 Li 2.88-2.96, 1 In 2.96
Sn 0.0000 0.3461 0.1539  6 Li 2.88-2.96, 1 In 2.96
In 0.0000 0.1533 0.3467  6 Li 2.95, 1 Sn 2.96
In 0.0000 0.8467 0.6533  6 Li 2.95, 1 Sn 2.96
In 0.0000 0.6533 0.1533  6 Li 2.95, 1 Sn 2.96
In 0.0000 0.3467 0.8467  6 Li 2.95, 1 Sn 2.96
Hg 0.0000 0.0000 0.0000  8 Li 2.82
Hg 0.0000 0.5000 0.5000  8 Li 2.82



First-principles (PBE-GGA) data for a geometry-optimized SrLiInHg2 structure, as listed in Alexandria via LeMat-Bulk.

Output
calculated formation energy: -0.363 eV per atom
density: 7.70 g/cm³
E: -1.75 eV per atom
ΔE to the lowest computed polymorph: 0.0000 eV/atom
size of the total moment: 0.00 μB per cell

Unit cell a=6.2572 b=5.9722 c=7.0463 alpha=90.00 beta=90.00 gamma=90.00
With the nearest neighbours (Å) after each atom.
Element x y z (fractional)
In 0.3907 0.2500 0.0000  2 Li 2.86, 2 Hg 2.99
In 0.6093 0.7500 0.0000  2 Li 2.86, 2 Hg 2.99
Sr 0.2427 0.2500 0.5000  8 Hg 3.39-3.61, 2 In 3.64
Sr 0.7573 0.7500 0.5000  8 Hg 3.39-3.61, 2 In 3.64
Li 0.0000 0.0000 0.0000  4 Hg 2.86, 2 In 2.86, 2 Li 2.99
Li 0.0000 0.5000 0.0000  4 Hg 2.86, 2 In 2.86, 2 Li 2.99
Hg 0.7586 0.2500 0.2719  2 Li 2.86, 1 In 2.99
Hg 0.7586 0.2500 0.7281  2 Li 2.86, 1 In 2.99
Hg 0.2414 0.7500 0.7281  2 Li 2.86, 1 In 2.99
Hg 0.2414 0.7500 0.2719  2 Li 2.86, 1 In 2.99



First-principles (PBE-GGA) data for a geometry-optimized SrLiInHg3 structure, as listed in Alexandria via LeMat-Bulk.

Output
calculated formation energy: -0.258 eV per atom
density: 8.39 g/cm³
E: -1.46 eV per atom
size of the total moment: 0.00 μB per cell

Unit cell a=6.7980 b=6.8977 c=7.6694 alpha=116.72 beta=90.00 gamma=90.00
With the nearest neighbours (Å) after each atom.
Element x y z (fractional)
In 0.7500 0.6438 0.2876  5 Hg 2.92-3.03
In 0.2500 0.3562 0.7124  5 Hg 2.92-3.03
Li 0.7500 0.0618 0.1236  5 Hg 2.68-2.81
Li 0.2500 0.9382 0.8764  5 Hg 2.68-2.81
Hg 0.5000 0.7265 0.0000  2 Li 2.68
Hg 0.2500 0.1430 0.2859  1 Li 2.81, 1 In 2.92
Hg 0.0000 0.2735 0.0000  2 Li 2.68
Hg 0.7500 0.8570 0.7141  1 Li 2.81, 1 In 2.92
Hg 0.0000 0.7265 0.0000  2 Li 2.68
Hg 0.5000 0.2735 0.0000  2 Li 2.68
Sr 0.2500 0.6962 0.3923  1 Li 3.32, 2 In 3.47, 6 Hg 3.53-3.54
Sr 0.7500 0.3038 0.6077  1 Li 3.32, 2 In 3.47, 6 Hg 3.53-3.54



First-principles (PBE-GGA) data for a geometry-optimized SrLiInHg2 structure, as listed in Alexandria via LeMat-Bulk.

Output
calculated formation energy: -0.269 eV per atom
density: 7.59 g/cm³
E: -1.66 eV per atom
ΔE to the lowest computed polymorph: 0.0937 eV/atom
size of the total moment: 0.00 μB per cell

Unit cell a=5.1046 b=5.1046 c=5.1271 alpha=90.00 beta=90.00 gamma=90.00
With the nearest neighbours (Å) after each atom.
Element x y z (fractional)
Li 0.0000 0.0000 0.0000  4 Hg 2.55, 2 In 2.56
In 0.0000 0.0000 0.5000  2 Li 2.56
Hg 0.5000 0.0000 0.0000  2 Li 2.55
Hg 0.0000 0.5000 0.0000  2 Li 2.55
Sr 0.5000 0.5000 0.5000  4 In 3.61, 8 Hg 3.62



First-principles (PBE-GGA) data for a geometry-optimized SrLi2InHg2 structure, as listed in Alexandria via LeMat-Bulk.

Output
calculated formation energy: -0.413 eV per atom
density: 7.03 g/cm³
E: -1.89 eV per atom
size of the total moment: 0.00 μB per cell

Unit cell a=4.7900 b=4.7900 c=7.3368 alpha=90.00 beta=90.00 gamma=120.00
With the nearest neighbours (Å) after each atom.
Element x y z (fractional)
Hg 0.6667 0.3333 0.7256  4 Li 2.81
Hg 0.3333 0.6667 0.2744  4 Li 2.81
Li 0.6667 0.3333 0.3423  4 Hg 2.81, 3 In 3.00
Li 0.3333 0.6667 0.6577  4 Hg 2.81, 3 In 3.00
In 0.0000 0.0000 0.5000  6 Li 3.00, 6 Hg 3.22
Sr 0.0000 0.0000 0.0000  6 Hg 3.42, 2 In 3.67, 6 Li 3.74



First-principles (PBE-GGA) data for a geometry-optimized SrLi2In2Hg2 structure, as listed in Alexandria via LeMat-Bulk.

Output
calculated formation energy: -0.312 eV per atom
density: 6.84 g/cm³
E: -1.97 eV per atom
size of the total moment: 0.00 μB per cell

Unit cell a=4.8200 b=4.8200 c=9.2604 alpha=74.92 beta=74.92 gamma=60.00
With the nearest neighbours (Å) after each atom.
Element x y z (fractional)
In 0.7461 0.7461 0.7618  3 Hg 2.89, 4 Li 3.01-3.22
In 0.2539 0.2539 0.2382  3 Hg 2.89, 4 Li 3.01-3.22
Hg 0.5581 0.5581 0.3258  3 In 2.89, 3 Li 2.91, 1 Hg 3.08
Hg 0.4419 0.4419 0.6742  3 In 2.89, 3 Li 2.91, 1 Hg 3.08
Li 0.1402 0.1402 0.5794  3 Hg 2.91, 4 In 3.01-3.22, 3 Li 3.12
Li 0.8598 0.8598 0.4206  3 Hg 2.91, 4 In 3.01-3.22, 3 Li 3.12
Sr 0.0000 0.0000 0.0000  6 In 3.49, 2 Li 3.71



First-principles (PBE-GGA) data for a geometry-optimized LiTbInHg structure, as listed in Alexandria via LeMat-Bulk.

Output
calculated formation energy: -0.422 eV per atom
density: 8.62 g/cm³
E: -2.82 eV per atom
size of the total moment: 0.00 μB per cell

Unit cell a=5.0804 b=5.0804 c=5.0804 alpha=60.00 beta=60.00 gamma=60.00
With the nearest neighbours (Å) after each atom.
Element x y z (fractional)
In 0.2500 0.2500 0.2500  4 Li 3.11, 4 Tb 3.11
Hg 0.7500 0.7500 0.7500  4 Tb 3.11, 4 Li 3.11
Li 0.0000 0.0000 0.0000  4 Hg 3.11, 4 In 3.11
Tb 0.5000 0.5000 0.5000  4 In 3.11, 4 Hg 3.11



First-principles (PBE-GGA) data for a geometry-optimized LiTb2InHg4 structure, as listed in Alexandria via LeMat-Bulk.

Output
calculated formation energy: -0.438 eV per atom
density: 11.08 g/cm³
E: -2.33 eV per atom
size of the total moment: 0.00 μB per cell

Unit cell a=5.0935 b=5.0935 c=8.7890 alpha=73.16 beta=73.16 gamma=60.00
With the nearest neighbours (Å) after each atom.
Element x y z (fractional)
In 0.0000 0.0000 0.0000  8 Hg 3.19-3.29, 6 Tb 3.53
Tb 0.2544 0.2544 0.2368  8 Hg 3.03-3.22
Tb 0.7456 0.7456 0.7632  8 Hg 3.03-3.22
Hg 0.3834 0.3834 0.8496  1 Li 2.90, 4 Tb 3.03-3.21, 3 In 3.19
Hg 0.6166 0.6166 0.1504  1 Li 2.90, 4 Tb 3.03-3.21, 3 In 3.19
Hg 0.1322 0.1322 0.6034  4 Tb 3.04-3.22, 3 Li 3.06, 1 In 3.29
Hg 0.8678 0.8678 0.3966  4 Tb 3.04-3.22, 3 Li 3.06, 1 In 3.29
Li 0.5000 0.5000 0.5000  8 Hg 2.90-3.06



First-principles (PBE-GGA) data for a geometry-optimized LiIn2HgTe4 structure, as listed in Alexandria via LeMat-Bulk.

Output
uncorrected formation energy: -0.380 eV per atom
density: 5.37 g/cm³
E: -2.91 eV per atom
size of the total moment: 0.00 μB per cell

Unit cell a=6.7683 b=6.7683 c=7.9111 alpha=113.59 beta=113.59 gamma=93.70
With the nearest neighbours (Å) after each atom.
Element x y z (fractional)
Li 0.5038 0.5038 0.0075  4 Te 2.79-2.84
Te 0.8640 0.3702 0.2342  1 Li 2.84, 1 Hg 2.90, 2 In 2.92
Te 0.3702 0.8640 0.2342  1 Li 2.84, 1 Hg 2.90, 2 In 2.92
Te 0.1320 0.1320 0.7496  1 Li 2.79, 1 Hg 2.89, 2 In 2.91
Te 0.6176 0.6176 0.7496  1 Li 2.79, 1 Hg 2.89, 2 In 2.91
Hg 0.0018 0.0018 0.0037  4 Te 2.89-2.90
In 0.7555 0.2555 0.5110  4 Te 2.91-2.92
In 0.2555 0.7555 0.5110  4 Te 2.91-2.92



First-principles (PBE-GGA) data for a geometry-optimized LiThInHg structure, as listed in Alexandria via LeMat-Bulk.

Output
calculated formation energy: -0.247 eV per atom
density: 9.13 g/cm³
E: -3.34 eV per atom
size of the total moment: 0.00 μB per cell

Unit cell a=5.2243 b=5.2243 c=5.2243 alpha=60.00 beta=60.00 gamma=60.00
With the nearest neighbours (Å) after each atom.
Element x y z (fractional)
Th 0.5000 0.5000 0.5000  4 Hg 3.20, 4 In 3.20
Li 0.0000 0.0000 0.0000  4 Hg 3.20, 4 In 3.20
Hg 0.7500 0.7500 0.7500  4 Th 3.20, 4 Li 3.20
In 0.2500 0.2500 0.2500  4 Th 3.20, 4 Li 3.20



First-principles (PBE-GGA) data for a geometry-optimized Li2ThIn2Hg structure, as listed in Alexandria via LeMat-Bulk.

Output
calculated formation energy: -0.109 eV per atom
density: 7.94 g/cm³
E: -2.95 eV per atom
size of the total moment: 0.00 μB per cell

Unit cell a=4.7322 b=4.7322 c=6.3164 alpha=90.00 beta=90.00 gamma=90.00
With the nearest neighbours (Å) after each atom.
Element x y z (fractional)
Li 0.5000 0.0000 0.0000  2 Hg 2.37
Li 0.0000 0.5000 0.0000  2 Hg 2.37
Th 0.0000 0.0000 0.5000  2 Hg 3.16
In 0.5000 0.5000 0.2745  1 In 2.85, 4 Li 2.93
In 0.5000 0.5000 0.7255  1 In 2.85, 4 Li 2.93
Hg 0.0000 0.0000 0.0000  4 Li 2.37